# V2Co6Mo | Alexandria | PBE-GGA | optimized geometry
data_V2Co6Mo
_cell_length_a 7.665
_cell_length_b 4.825
_cell_length_c 6.210
_cell_angle_alpha 90.00
_cell_angle_beta 108.82
_cell_angle_gamma 90.00
_space_group_name_H-M_alt 'C 1 2/m 1'
_space_group_IT_number 12
loop_
_space_group_symop_operation_xyz
'x,y,z'
'-x,-y,-z'
'-x,y,-z'
'x,-y,z'
'x+1/2,y+1/2,z'
'-x+1/2,-y+1/2,-z'
'-x+1/2,y+1/2,-z'
'x+1/2,-y+1/2,z'
loop_
_atom_site_label
_atom_site_type_symbol
_atom_site_fract_x
_atom_site_fract_y
_atom_site_fract_z
_atom_site_occupancy
V1 V 0.175 0.000 0.116 1
Co1 Co 0.060 0.235 0.699 1
Co2 Co 0.225 0.500 0.453 1
Mo1 Mo 0.000 0.500 0.000 1
# Crystal system: monoclinic
# Calculated formation energy, eV per atom: 0.1255